The following is a PBE calculation of a geometry-optimized Pm3Y4Er8 structure, from Alexandria via LeMat-Bulk.

Calculated values
E_tot: -4.713 eV/atom
space-group type: No. 12

a b c (Å): 6.7381 9.2465 9.2465
angles (deg): 87.56 111.31 111.31
Fractional positions:
Er (0.0000, 0.6395, 0.3605)
Er (0.4640, 0.7305, 0.7305)
Er (0.5360, 0.2695, 0.2695)
Er (0.0000, 0.3605, 0.6395)
Er (0.5000, 0.7453, 0.2547)
Er (0.9892, 0.7335, 0.7335)
Er (0.0108, 0.2665, 0.2665)
Er (0.5000, 0.2547, 0.7453)
Y (0.5000, 0.0000, 0.0000)
Y (0.0000, 0.5000, 0.0000)
Y (0.0000, 0.0000, 0.0000)
Y (0.0000, 0.0000, 0.5000)
Pm (0.5000, 0.0000, 0.5000)
Pm (0.5000, 0.5000, 0.0000)
Pm (0.5000, 0.5000, 0.5000)

***

The following is a PBE calculation of a geometry-optimized Pm2Y5Er structure, from Alexandria via LeMat-Bulk.

Calculated values
E_tot: -5.777 eV/atom
space-group type: No. 55

a b c (Å): 5.0582 7.1688 14.3346
angles (deg): 90.00 90.00 90.00
Fractional positions:
Y (0.5000, 0.2496, 0.8755)
Y (0.5000, 0.7496, 0.6245)
Y (0.5000, 0.2504, 0.3755)
Y (0.0000, 0.0011, 0.2507)
Y (0.0000, 0.5000, 0.5000)
Y (0.0000, 0.5011, 0.2493)
Y (0.0000, 0.9989, 0.7493)
Y (0.0000, 0.4989, 0.7507)
Y (0.5000, 0.7504, 0.1245)
Y (0.0000, 0.0000, 0.0000)
Er (0.0000, 0.5000, 0.0000)
Er (0.0000, 0.0000, 0.5000)
Pm (0.5000, 0.2484, 0.6245)
Pm (0.5000, 0.7516, 0.3755)
Pm (0.5000, 0.7484, 0.8755)
Pm (0.5000, 0.2516, 0.1245)

***

The following is a PBE calculation of a geometry-optimized Pm4YEr10 structure, from Alexandria via LeMat-Bulk.

Calculated values
E_tot: -4.300 eV/atom
space-group type: No. 87

a b c (Å): 11.4867 8.9610 8.9610
angles (deg): 65.75 50.14 50.14
Fractional positions:
Pm (0.5740, 0.5963, 0.2557)
Pm (0.8297, 0.7443, 0.5963)
Pm (0.1703, 0.2557, 0.4037)
Pm (0.4260, 0.4037, 0.7443)
Er (0.0439, 0.3457, 0.8896)
Er (0.6105, 0.1104, 0.3457)
Er (0.7209, 0.3457, 0.8896)
Er (0.2791, 0.6543, 0.1104)
Er (0.7500, 0.5000, 0.5000)
Er (0.2500, 0.5000, 0.5000)
Er (0.0665, 0.8896, 0.6543)
Er (0.9335, 0.1104, 0.3457)
Er (0.3895, 0.8896, 0.6543)
Er (0.9561, 0.6543, 0.1104)
Y (0.0000, 0.0000, 0.0000)

***

The following is a PBE calculation of a geometry-optimized PmY8Er6 structure, from Alexandria via LeMat-Bulk.

Calculated values
E_tot: -5.453 eV/atom
space-group type: No. 148

a b c (Å): 9.0192 9.0192 8.6224
angles (deg): 58.47 58.47 60.00
Fractional positions:
Er (0.2307, 0.5390, 0.1207)
Er (0.1096, 0.2307, 0.1207)
Er (0.4610, 0.8904, 0.8793)
Er (0.5390, 0.1096, 0.1207)
Er (0.8904, 0.7693, 0.8793)
Er (0.7693, 0.4610, 0.8793)
Y (0.5768, 0.5768, 0.2697)
Y (0.8898, 0.2542, 0.5752)
Y (0.7193, 0.1102, 0.4248)
Y (0.1102, 0.7458, 0.4248)
Y (0.7458, 0.7193, 0.4248)
Y (0.4232, 0.4232, 0.7303)
Y (0.2542, 0.2807, 0.5752)
Y (0.2807, 0.8898, 0.5752)
Pm (0.0000, 0.0000, 0.0000)

***

The following is a PBE calculation of a geometry-optimized Pm4Y2Er3 structure, from Alexandria via LeMat-Bulk.

Calculated values
E_tot: -4.987 eV/atom
space-group type: No. 12

a b c (Å): 3.5484 8.6204 10.0244
angles (deg): 98.52 100.19 90.00
Fractional positions:
Pm (0.2805, 0.3490, 0.5610)
Pm (0.4526, 0.3135, 0.9052)
Pm (0.7195, 0.6510, 0.4390)
Pm (0.5474, 0.6865, 0.0948)
Er (0.8933, 0.6424, 0.7865)
Er (0.0000, 0.0000, 0.0000)
Er (0.1067, 0.3576, 0.2135)
Y (0.6674, 0.0445, 0.3347)
Y (0.3326, 0.9555, 0.6653)

***

The following is a PBE calculation of a geometry-optimized PmY3Er3 structure, from Alexandria via LeMat-Bulk.

Calculated values
E_tot: -5.267 eV/atom
space-group type: No. 148

a b c (Å): 6.1698 6.1698 14.6461
angles (deg): 77.84 77.84 60.00
Fractional positions:
Y (0.9321, 0.2657, 0.2038)
Y (0.5984, 0.9321, 0.2038)
Y (0.4016, 0.0679, 0.7962)
Y (0.0679, 0.7343, 0.7962)
Y (0.2657, 0.5984, 0.2038)
Y (0.7343, 0.4016, 0.7962)
Er (0.5344, 0.1982, 0.4013)
Er (0.4656, 0.8018, 0.5987)
Er (0.1339, 0.4656, 0.5987)
Er (0.8018, 0.1339, 0.5987)
Er (0.1982, 0.8661, 0.4013)
Er (0.8661, 0.5344, 0.4013)
Pm (0.6667, 0.6667, 0.0000)
Pm (0.3333, 0.3333, 0.0000)

***

The following is a PBE calculation of a geometry-optimized Pm4Y8Er3 structure, from Alexandria via LeMat-Bulk.

Calculated values
E_tot: -5.253 eV/atom
space-group type: No. 12

a b c (Å): 6.7719 9.3217 9.3217
angles (deg): 87.21 111.39 111.39
Fractional positions:
Y (0.0027, 0.2703, 0.2703)
Y (0.0000, 0.6405, 0.3595)
Y (0.5000, 0.2535, 0.7465)
Y (0.5000, 0.7465, 0.2535)
Y (0.4821, 0.7342, 0.7342)
Y (0.9973, 0.7297, 0.7297)
Y (0.0000, 0.3595, 0.6405)
Y (0.5179, 0.2658, 0.2658)
Pm (0.0000, 0.5000, 0.0000)
Pm (0.5000, 0.0000, 0.0000)
Pm (0.0000, 0.0000, 0.0000)
Pm (0.0000, 0.0000, 0.5000)
Er (0.5000, 0.0000, 0.5000)
Er (0.5000, 0.5000, 0.0000)
Er (0.5000, 0.5000, 0.5000)

***

The following is a PBE calculation of a geometry-optimized PmY6Er4 structure, from Alexandria via LeMat-Bulk.

Calculated values
E_tot: -5.498 eV/atom
space-group type: No. 63

a b c (Å): 5.6617 5.6215 25.7431
angles (deg): 90.00 90.00 120.24
Fractional positions:
Er (0.1636, 0.3272, 0.4584)
Er (0.8364, 0.6728, 0.5416)
Er (0.5102, 0.0204, 0.8791)
Er (0.1636, 0.3272, 0.0416)
Er (0.4898, 0.9796, 0.1209)
Er (0.5102, 0.0204, 0.6209)
Er (0.8364, 0.6728, 0.9584)
Er (0.4898, 0.9796, 0.3791)
Y (0.1748, 0.3497, 0.8984)
Y (0.1582, 0.3164, 0.1804)
Y (0.5000, 0.0000, 0.0000)
Y (0.5074, 0.0148, 0.7500)
Y (0.1748, 0.3497, 0.6016)
Y (0.1582, 0.3164, 0.3196)
Y (0.5000, 0.0000, 0.5000)
Y (0.4926, 0.9852, 0.2500)
Y (0.8252, 0.6503, 0.3984)
Y (0.8252, 0.6503, 0.1016)
Y (0.8418, 0.6836, 0.8196)
Y (0.8418, 0.6836, 0.6804)
Pm (0.8263, 0.6527, 0.2500)
Pm (0.1737, 0.3473, 0.7500)